Record 1
CdIBr: relaxed, PBE.

The structure in CIF format:
```
data_CdIBr
_space_group_name_H-M_alt 'P 1'
_space_group_IT_number 1
_space_group_name_Hall 'P 1'
_cell_length_a 8.699
_cell_length_b 7.809
_cell_length_c 8.280
_cell_angle_alpha 90.00
_cell_angle_beta 115.44
_cell_angle_gamma 90.00
loop_
_atom_site_label
_atom_site_type_symbol
_atom_site_fract_x
_atom_site_fract_y
_atom_site_fract_z
Cd1 Cd 0.153 0.176 0.304
Cd2 Cd 0.153 0.324 0.804
Cd3 Cd 0.847 0.676 0.196
Cd4 Cd 0.847 0.824 0.696
I1 I 0.162 0.672 0.909
I2 I 0.162 0.828 0.409
I3 I 0.838 0.172 0.591
I4 I 0.838 0.328 0.091
Br1 Br 0.337 0.168 0.113
Br2 Br 0.337 0.332 0.613
Br3 Br 0.663 0.668 0.387
Br4 Br 0.663 0.832 0.887
```

- Electronic total energy: -2.09 eV/atom
- Symmetry: P2_1/c
- Magnetization: 0.00 μB per cell



Record 2
Zr3SnH2: relaxed, PBE.

The structure in CIF format:
```
data_Zr3SnH2
_space_group_name_H-M_alt 'P 1'
_space_group_IT_number 1
_space_group_name_Hall 'P 1'
_cell_length_a 5.800
_cell_length_b 5.800
_cell_length_c 5.800
_cell_angle_alpha 135.82
_cell_angle_beta 135.82
_cell_angle_gamma 64.26
loop_
_atom_site_label
_atom_site_type_symbol
_atom_site_fract_x
_atom_site_fract_y
_atom_site_fract_z
Zr1 Zr 0.000 0.000 0.000
Zr2 Zr 0.250 0.750 0.500
Zr3 Zr 0.750 0.250 0.500
Sn1 Sn 0.500 0.500 0.000
H1 H 0.208 0.208 0.000
H2 H 0.792 0.792 0.000
```

- Electronic total energy: -6.48 eV/atom
- Symmetry: I4/mmm
- Magnetization: 0.00 μB per cell



Record 3
Rb2ZnGaH: relaxed, PBE.

The structure in CIF format:
```
data_Rb2ZnGaH
_space_group_name_H-M_alt 'P 1'
_space_group_IT_number 1
_space_group_name_Hall 'P 1'
_cell_length_a 6.740
_cell_length_b 6.740
_cell_length_c 4.625
_cell_angle_alpha 90.00
_cell_angle_beta 90.00
_cell_angle_gamma 90.00
loop_
_atom_site_label
_atom_site_type_symbol
_atom_site_fract_x
_atom_site_fract_y
_atom_site_fract_z
Rb1 Rb 0.000 0.500 0.000
Rb2 Rb 0.500 0.000 0.000
Zn1 Zn 0.000 0.000 0.000
Ga1 Ga 0.000 0.000 0.500
H1 H 0.500 0.500 0.500
```

- Electronic total energy: -1.60 eV/atom
- Symmetry: P4/mmm
- Magnetization: 0.00 μB per cell